A | HfP2PbCl after structural relaxation, computed with GGA-PBE.

As for the crystal system: tetragonal. As for the density of states at the Fermi level: 0.599 states/eV per atom. The space group is P4/mmm (123).

Cell: 5.183 5.183 5.061 Å, 90.00 90.00 90.00°
Fractional positions:
Pb  0.000  0.000  0.000
P  0.000  0.500  0.000
P  0.500  0.000  0.000
Hf  0.500  0.500  0.500
Cl  0.000  0.000  0.500


B | HfP2PbCl after structural relaxation, computed with GGA-PBE.

As for the crystal system: tetragonal. As for the density of states at the Fermi level: 0.561 states/eV per atom. The space group is P4/mmm (123).

Cell: 5.059 5.059 4.934 Å, 90.00 90.00 90.00°
Fractional positions:
Pb  0.500  0.500  0.500
P  0.000  0.500  0.000
P  0.500  0.000  0.000
Hf  0.000  0.000  0.000
Cl  0.000  0.000  0.500


Stability check: which of them is most stable? B.


A | HfP2PtCl after structural relaxation, computed with GGA-PBE.

As for the crystal system: tetragonal. As for the density of states at the Fermi level: 0.551 states/eV per atom. The space group is P4/mmm (123).

Cell: 4.678 4.678 4.702 Å, 90.00 90.00 90.00°
Fractional positions:
P  0.000  0.500  0.000
P  0.500  0.000  0.000
Hf  0.500  0.500  0.500
Pt  0.000  0.000  0.000
Cl  0.000  0.000  0.500


B | HfP2PtCl after structural relaxation, computed with GGA-PBE.

As for the crystal system: tetragonal. As for the density of states at the Fermi level: 1.070 states/eV per atom. The space group is P4/mmm (123).

Cell: 5.029 5.029 4.707 Å, 90.00 90.00 90.00°
Fractional positions:
P  0.000  0.500  0.000
P  0.500  0.000  0.000
Hf  0.000  0.000  0.000
Pt  0.500  0.500  0.500
Cl  0.000  0.000  0.500


Stability check: which of them is most stable? B.